Record 1
## Dy5HoGa6 (PBE)

Data for a relaxed Dy5HoGa6 crystal.

Cell and atoms, written as extended XYZ:
```
12
Lattice="-4.178 -2.526 1.261 2.920 -6.034 -2.413 0.798 -2.611 7.494" Properties=species:S:1:pos:R:3 pbc="T T T"
Ho 0.000 0.000 0.000
Ga -1.026 -7.504 1.733
Ga -2.489 -4.479 2.942
Ga -1.361 -2.768 0.028
Ga 0.102 -5.792 -1.181
Ga 2.029 -6.692 3.399
Ga 0.565 -3.667 4.608
Dy -0.795 -6.441 4.626
Dy -1.128 -1.712 2.916
Dy 1.460 -3.017 -1.207
Dy -2.253 -3.425 5.838
Dy 0.335 -4.730 1.715
```

Summary:
ρ   8.527 g cm⁻³
ΔH_f (0 K)   -0.584 eV per atom



Record 2
## Pm2Sm5Y5 (PBE)

Data for a relaxed Pm2Sm5Y5 crystal.

Cell and atoms, written as extended XYZ:
```
12
Lattice="-2.207 4.544 0.753 -5.393 -4.922 -3.424 1.242 -1.264 11.262" Properties=species:S:1:pos:R:3 pbc="T T T"
Pm -0.147 -1.387 7.939
Pm -6.211 -0.254 0.653
Sm -0.482 1.640 6.007
Sm -2.025 0.126 10.619
Sm -1.879 1.512 2.687
Sm -4.479 -3.154 5.905
Sm -4.333 -1.768 -2.027
Y -1.551 -1.519 4.618
Y -3.422 -0.001 7.296
Y -2.936 -1.641 1.296
Y -4.806 -0.123 3.973
Y 0.000 0.000 0.000
```

Summary:
ρ   6.198 g cm⁻³
Distance to the lowest polymorph of the same formula   0.000 eV/atom
ΔH_f (0 K)   0.016 eV per atom



The highest ΔH_f (0 K) belongs to which entry?
Pm2Sm5Y5